<A>
# HgTeSe2

Crystalline HgTeSe2 at its relaxed geometry (PBE, the Alexandria database).

Geometry as CIF:
```
data_HgTeSe2
_chemical_formula_sum 'Hg1 Te1 Se2'
_symmetry_space_group_name_H-M 'P 4/m m m'
_symmetry_Int_Tables_number 123
_symmetry_space_group_name_Hall '-P 4 2'
_cell_length_a 3.615
_cell_length_b 3.615
_cell_length_c 7.390
_cell_angle_alpha 90.00
_cell_angle_beta 90.00
_cell_angle_gamma 90.00
loop_
_atom_site_label
_atom_site_type_symbol
_atom_site_fract_x
_atom_site_fract_y
_atom_site_fract_z
_atom_site_occupancy
Hg1 Hg 0.000 0.000 0.000 1
Te1 Te 0.000 0.000 0.500 1
Se1 Se 0.500 0.500 0.269 1
```

Results
- Crystal system: tetragonal
- Total moment: 0.00 Bohr magnetons per cell
- Density of states at the Fermi level: 0.45 states/eV per atom

---

<B>
# HgTeSe2

Crystalline HgTeSe2 at its relaxed geometry (PBE, the Alexandria database).

Geometry as CIF:
```
data_HgTeSe2
_chemical_formula_sum 'Hg2 Te2 Se4'
_symmetry_space_group_name_H-M 'I m m m'
_symmetry_Int_Tables_number 71
_symmetry_space_group_name_Hall '-I 2 2'
_cell_length_a 4.039
_cell_length_b 7.779
_cell_length_c 7.872
_cell_angle_alpha 90.00
_cell_angle_beta 90.00
_cell_angle_gamma 90.00
loop_
_atom_site_label
_atom_site_type_symbol
_atom_site_fract_x
_atom_site_fract_y
_atom_site_fract_z
_atom_site_occupancy
Hg1 Hg 0.000 0.000 0.000 1
Te1 Te 0.000 0.500 0.000 1
Se1 Se 0.000 0.248 0.500 1
```

Results
- Crystal system: orthorhombic
- Total moment: 0.00 Bohr magnetons per cell
- Density of states at the Fermi level: 0.47 states/eV per atom

---

Each structure's energy above the most stable one, in meV per atom: <A> 199; <B> 0.